CoRh5 after structural relaxation, computed with PBEsol.

It has space group Pmmm (No. 47), with a = 2.6494 Å, b = 3.7136 Å, c = 7.9158 Å, α = 90.00°, β = 90.00° and γ = 90.00°. Symmetry generates all atoms from Co at (0.0000, 0.0000, 0.0000), Rh at (0.0000, 0.0000, 0.3284), Rh at (0.5000, 0.5000, 0.1598) and Rh at (0.5000, 0.5000, 0.5000).

For the total energy, the calculation gives -8.03 eV/atom. Its formation energy is 21 kJ/mol of formula units. The value obtained for the magnetization is 1.7 μB per cell.

CdInBr3 after structural relaxation, computed with PBEsol.

It has space group Pnma (No. 62), with a = 9.6009 Å, b = 4.1991 Å, c = 15.6811 Å, α = 90.00°, β = 90.00° and γ = 90.00°. Symmetry generates all atoms from Cd at (0.1671, 0.2500, 0.0563), In at (0.0585, 0.7500, 0.3223), Br at (0.0225, 0.2500, 0.8964), Br at (0.1659, 0.2500, 0.4943) and Br at (0.2121, 0.7500, 0.7133).

As for the energy relative to the elements, uncorrected: -0.740 eV/atom. For the total energy, the calculation gives -2.70 eV/atom. The value obtained for the magnetization is 0.0 μB per cell. The energy relative to the lowest polymorph listed for this composition is 0.0 meV per atom.

OsPt8 after structural relaxation, computed with PBEsol.

It has space group I4/mmm (No. 139), with a = 8.2925 Å, b = 8.2925 Å, c = 3.8914 Å, α = 90.00°, β = 90.00° and γ = 90.00°. Symmetry generates all atoms from Os at (0.0000, 0.0000, 0.0000), Pt at (0.0000, 0.3299, 0.0000) and Pt at (0.1635, 0.1635, 0.5000).

For the total energy, the calculation gives -7.49 eV/atom. Its formation energy is 50 kJ/mol of formula units. The value obtained for the magnetization is 0.0 μB per cell.

Which value of magnetization does entry 2 give?
0.0 μB per cell

Which of these has the highest magnetization?
CoRh5